Record 1
Below is crystalline TcMo3Pb at its relaxed geometry, with properties calculated at the PBE level.

Computed properties:
Relative energy among the computed polymorphs ... 0 meV/atom

Unit cell a=4.7634 b=4.7634 c=4.7634 alpha=90.00 beta=90.00 gamma=90.00
Last column: nearest neighbours and their distance in Å.
Atoms (fractional coordinates):
Tc1 0.0000 0.0000 0.0000  6 Mo 2.38
Mo1 0.0000 0.0000 0.5000  2 Tc 2.38
Mo2 0.0000 0.5000 0.0000  2 Tc 2.38
Mo3 0.5000 0.0000 0.0000  2 Tc 2.38
Pb1 0.5000 0.5000 0.5000  12 Mo 3.37

***

Record 2
Below is crystalline K2AgH6Au2 at its relaxed geometry, with properties calculated at the PBE level.

Unit cell a=6.6835 b=6.6835 c=6.6050 alpha=119.20 beta=119.20 gamma=44.37
Last column: nearest neighbours and their distance in Å.
Atoms (fractional coordinates):
K1 0.1954 0.1954 0.1985  7 H 2.71-2.84
K2 0.8046 0.8046 0.8015  7 H 2.71-2.84
Ag1 0.0000 0.0000 0.5000  4 H 1.90
H1 0.1678 0.6584 0.5758  1 Au 1.77, 1 Ag 1.90
H2 0.3381 0.3381 0.9751  1 Au 1.68
H3 0.3416 0.8322 0.4242  1 Au 1.77, 1 Ag 1.90
H4 0.6584 0.1678 0.5758  1 Au 1.77, 1 Ag 1.90
H5 0.6619 0.6619 0.0249  1 Au 1.68
H6 0.8322 0.3416 0.4242  1 Au 1.77, 1 Ag 1.90
Au1 0.4823 0.4823 0.2256  3 H 1.68-1.77
Au2 0.5177 0.5177 0.7744  3 H 1.68-1.77

***

Record 3
Below is crystalline Sm2Fe12Co5 at its relaxed geometry, with properties calculated at the PBE level.

Unit cell a=6.4082 b=6.4082 c=6.4082 alpha=82.97 beta=82.97 gamma=82.97
Last column: nearest neighbours and their distance in Å.
Atoms (fractional coordinates):
Sm1 0.1559 0.1559 0.1559  15 Fe 3.02-3.23, 4 Co 3.11-3.29
Sm2 0.8441 0.8441 0.8441  15 Fe 3.02-3.23, 4 Co 3.11-3.29
Fe1 0.1614 0.1614 0.6514  3 Co 2.43-2.61, 6 Fe 2.51-2.64
Fe2 0.1614 0.6514 0.1614  3 Co 2.43-2.61, 6 Fe 2.51-2.64
Fe3 0.2079 0.5000 0.7921  2 Co 2.43, 6 Fe 2.48-2.64
Fe4 0.2079 0.7921 0.5000  2 Co 2.43, 6 Fe 2.48-2.64
Fe5 0.3486 0.8386 0.8386  3 Co 2.43-2.61, 6 Fe 2.51-2.64
Fe6 0.5000 0.2079 0.7921  2 Co 2.43, 6 Fe 2.48-2.64
Fe7 0.5000 0.7921 0.2079  2 Co 2.43, 6 Fe 2.48-2.64
Fe8 0.6514 0.1614 0.1614  3 Co 2.43-2.61, 6 Fe 2.51-2.64
Fe9 0.7921 0.2079 0.5000  2 Co 2.43, 6 Fe 2.48-2.64
Fe10 0.7921 0.5000 0.2079  2 Co 2.43, 6 Fe 2.48-2.64
Fe11 0.8386 0.3486 0.8386  3 Co 2.43-2.61, 6 Fe 2.51-2.64
Fe12 0.8386 0.8386 0.3486  3 Co 2.43-2.61, 6 Fe 2.51-2.64
Co1 0.0000 0.5000 0.5000  8 Fe 2.43, 2 Co 2.61
Co2 0.4068 0.4068 0.4068  1 Co 2.31
Co3 0.5000 0.0000 0.5000  8 Fe 2.43, 2 Co 2.61
Co4 0.5000 0.5000 0.0000  8 Fe 2.43, 2 Co 2.61
Co5 0.5932 0.5932 0.5932  1 Co 2.31

***

Record 4
Below is crystalline KNaAsAu at its relaxed geometry, with properties calculated at the PBE level.

Unit cell a=4.7020 b=4.8664 c=5.7004 alpha=90.00 beta=93.02 gamma=90.00
Last column: nearest neighbours and their distance in Å.
Atoms (fractional coordinates):
K1 0.0000 0.0000 0.0000  2 As 3.45, 3 Na 3.51-3.71, 2 Au 3.57
Na1 0.4406 0.0000 0.5156  2 Au 2.88, 2 As 3.00
As1 0.0784 0.5000 0.4285  2 Au 2.49-2.52
Au1 0.5718 0.5000 0.2749  2 As 2.49-2.52

***

Record 5
Below is crystalline ZrCo2Os2 at its relaxed geometry, with properties calculated at the PBE level.

Computed properties:
Relative energy among the computed polymorphs ... 52 meV/atom

Unit cell a=7.3106 b=7.3106 c=2.6931 alpha=90.00 beta=90.00 gamma=90.00
Last column: nearest neighbours and their distance in Å.
Atoms (fractional coordinates):
Zr1 0.0000 0.0000 0.0000  2 Zr 2.69, 4 Os 2.89
Zr2 0.5000 0.5000 0.0000  2 Zr 2.69, 4 Os 2.89
Co1 0.1714 0.3286 0.5000  6 Os 2.50-2.57, 2 Co 2.69
Co2 0.3286 0.8286 0.5000  6 Os 2.50-2.57, 2 Co 2.69
Co3 0.6714 0.1714 0.5000  6 Os 2.50-2.57, 2 Co 2.69
Co4 0.8286 0.6714 0.5000  6 Os 2.50-2.57, 2 Co 2.69
Os1 0.1246 0.6246 0.0000  6 Co 2.50-2.57, 3 Os 2.58-2.69
Os2 0.3754 0.1246 0.0000  6 Co 2.50-2.57, 3 Os 2.58-2.69
Os3 0.6246 0.8754 0.0000  6 Co 2.50-2.57, 3 Os 2.58-2.69
Os4 0.8754 0.3754 0.0000  6 Co 2.50-2.57, 3 Os 2.58-2.69

***

Record 6
Below is crystalline LiGdSe2 at its relaxed geometry, with properties calculated at the PBE level.

Computed properties:
ΔE_f (raw) ... -1696 meV per atom

Unit cell a=6.9114 b=6.9114 c=6.9114 alpha=34.65 beta=34.65 gamma=34.65
Last column: nearest neighbours and their distance in Å.
Atoms (fractional coordinates):
Li1 0.0000 0.0000 0.0000  6 Se 2.86
Gd1 0.5000 0.5000 0.5000  6 Se 2.90
Se1 0.2516 0.2516 0.2516  3 Li 2.86, 3 Gd 2.90
Se2 0.7484 0.7484 0.7484  3 Li 2.86, 3 Gd 2.90

***

Record 7
Below is crystalline SmHo2Tc at its relaxed geometry, with properties calculated at the PBE level.

Computed properties:
Relative energy among the computed polymorphs ... 270 meV/atom

Unit cell a=5.7796 b=5.7796 c=5.7796 alpha=49.40 beta=49.40 gamma=49.40
Last column: nearest neighbours and their distance in Å.
Atoms (fractional coordinates):
Sm1 0.0000 0.0000 0.0000  8 Ho 3.22-3.45
Ho1 0.2270 0.2270 0.2270  3 Tc 2.94, 3 Sm 3.22
Ho2 0.7730 0.7730 0.7730  3 Tc 2.94, 3 Sm 3.22
Tc1 0.5000 0.5000 0.5000  6 Ho 2.94

***

Record 8
Below is crystalline BeAgW2 at its relaxed geometry, with properties calculated at the PBE level.

Unit cell a=2.7085 b=2.7085 c=7.9496 alpha=90.00 beta=90.00 gamma=90.00
Last column: nearest neighbours and their distance in Å.
Atoms (fractional coordinates):
Be1 0.0000 0.0000 0.0000  4 Ag 2.54, 4 W 2.56, 4 Be 2.71
Ag1 0.5000 0.5000 0.7902  4 Be 2.54, 4 Ag 2.71
W1 0.0000 0.0000 0.5017  8 W 2.71-2.99, 4 Ag 2.99
W2 0.5000 0.5000 0.2134  4 Be 2.56, 4 W 2.71

***

Record 9
Below is crystalline Ac2HfPd at its relaxed geometry, with properties calculated at the PBE level.

Unit cell a=11.1015 b=11.1015 c=11.1015 alpha=18.91 beta=18.91 gamma=18.91
Last column: nearest neighbours and their distance in Å.
Atoms (fractional coordinates):
Ac1 0.0981 0.0981 0.0981  3 Pd 3.08, 1 Hf 3.21
Ac2 0.9019 0.9019 0.9019  3 Pd 3.08, 1 Hf 3.21
Hf1 0.0000 0.0000 0.0000  2 Ac 3.21
Pd1 0.5000 0.5000 0.5000  6 Ac 3.08

***

Record 10
Below is crystalline CsGaPb at its relaxed geometry, with properties calculated at the PBE level.

Unit cell a=7.9202 b=7.9202 c=7.9202 alpha=142.87 beta=69.32 gamma=123.77
Last column: nearest neighbours and their distance in Å.
Atoms (fractional coordinates):
Cs1 0.0000 0.0000 0.0000  4 Ga 3.96, 6 Pb 4.22-4.32
Cs2 0.5000 0.0000 0.5000  4 Ga 3.96, 6 Pb 4.22-4.32
Ga1 0.5000 0.0000 0.0000  2 Ga 2.52
Ga2 0.5000 0.5000 0.5000  2 Ga 2.52
Pb1 0.1301 0.3801 0.7500  2 Ga 3.04, 2 Pb 3.18
Pb2 0.8699 0.6199 0.2500  2 Ga 3.04, 2 Pb 3.18

***

Record 11
Below is crystalline Ho3Er5Tm2 at its relaxed geometry, with properties calculated at the PBE level.

Computed properties:
Relative energy among the computed polymorphs ... 156 meV/atom

Unit cell a=10.9386 b=10.9386 c=10.9386 alpha=109.54 beta=79.89 gamma=147.24
Last column: nearest neighbours and their distance in Å.
Atoms (fractional coordinates):
Ho1 0.2495 0.1594 0.4089  4 Er 3.43-3.62, 4 Tm 3.43-3.61
Ho2 0.2500 0.2500 0.0000  2 Ho 3.08, 2 Er 3.15, 4 Tm 3.29
Ho3 0.2505 0.6594 0.9099  4 Er 3.43-3.62, 4 Tm 3.43-3.61
Ho4 0.7495 0.3406 0.0901  4 Er 3.43-3.62, 4 Tm 3.43-3.61
Ho5 0.7500 0.7500 0.0000  2 Ho 3.08, 2 Er 3.15, 4 Tm 3.29
Ho6 0.7505 0.8406 0.5911  4 Er 3.43-3.62, 4 Tm 3.43-3.61
Er1 0.1565 0.4011 0.5576  1 Tm 3.14, 2 Er 3.29, 1 Ho 3.43
Er2 0.2500 0.0001 0.7501  3 Er 3.08-3.16, 1 Ho 3.15
Er3 0.2500 0.4999 0.2499  3 Er 3.08-3.16, 1 Ho 3.15
Er4 0.2500 0.7500 0.5000  8 Er 3.08-3.29
Er5 0.3435 0.9011 0.2446  1 Tm 3.14, 2 Er 3.29, 1 Ho 3.43
Er6 0.6565 0.0989 0.7554  1 Tm 3.14, 2 Er 3.29, 1 Ho 3.43
Er7 0.7500 0.9999 0.2499  3 Er 3.08-3.16, 1 Ho 3.15
Er8 0.7500 0.2500 0.5000  8 Er 3.08-3.29
Er9 0.7500 0.5001 0.7501  3 Er 3.08-3.16, 1 Ho 3.15
Er10 0.8435 0.5989 0.4424  1 Tm 3.14, 2 Er 3.29, 1 Ho 3.43
Tm1 0.1564 0.9011 0.0575  1 Er 3.14, 3 Ho 3.29-3.43
Tm2 0.3436 0.4011 0.7447  1 Er 3.14, 3 Ho 3.29-3.43
Tm3 0.6564 0.5989 0.2553  1 Er 3.14, 3 Ho 3.29-3.43
Tm4 0.8436 0.0989 0.9425  1 Er 3.14, 3 Ho 3.29-3.43

***

Record 12
Below is crystalline CaTa2Os at its relaxed geometry, with properties calculated at the PBE level.

Computed properties:
Relative energy among the computed polymorphs ... 473 meV/atom

Unit cell a=4.2041 b=4.2041 c=4.2833 alpha=90.00 beta=90.00 gamma=90.00
Last column: nearest neighbours and their distance in Å.
Atoms (fractional coordinates):
Ca1 0.0000 0.0000 0.0000  4 Os 2.97, 8 Ta 3.00
Ta1 0.0000 0.5000 0.5000  4 Ta 2.97, 4 Os 3.00, 4 Ca 3.00
Ta2 0.5000 0.0000 0.5000  4 Ta 2.97, 4 Os 3.00, 4 Ca 3.00
Os1 0.5000 0.5000 0.0000  4 Ca 2.97, 8 Ta 3.00

***

| no. | V (Å³ per atom) | raw total energy (eV/cell) |
| --- | --- | --- |
| 1 | 21.62 | -39.3 |
| 2 | 15.94 | -32.2 |
| 3 | 13.56 | -146.8 |
| 4 | 32.56 | -11.6 |
| 5 | 14.39 | -89.7 |
| 6 | 23.81 | -29.7 |
| 7 | 25.57 | -23.5 |
| 8 | 14.58 | -31.1 |
| 9 | 31.38 | -21.9 |
| 10 | 40.87 | -15.5 |
| 11 | 32.64 | -83.8 |
| 12 | 18.93 | -34.2 |